*A*
VASP calculation (GGA-PBE) on a relaxed CdP3S crystal.

CIF file:
```
data_CdP3S
_symmetry_space_group_name_H-M 'P m -3 m'
_symmetry_Int_Tables_number 221
_symmetry_space_group_name_Hall '-P 4 2 3'
_cell_length_a 4.9310
_cell_length_b 4.9310
_cell_length_c 4.9310
_cell_angle_alpha 90.00
_cell_angle_beta 90.00
_cell_angle_gamma 90.00
loop_
_atom_site_label
_atom_site_type_symbol
_atom_site_fract_x
_atom_site_fract_y
_atom_site_fract_z
Cd1 Cd 0.0000 0.0000 0.0000
P1 P 0.0000 0.0000 0.5000
S1 S 0.5000 0.5000 0.5000
```

=====

*B*
VASP calculation (GGA-PBE) on a relaxed CdP3S crystal.

CIF file:
```
data_CdP3S
_symmetry_space_group_name_H-M 'P m -3 m'
_symmetry_Int_Tables_number 221
_symmetry_space_group_name_Hall '-P 4 2 3'
_cell_length_a 4.5802
_cell_length_b 4.5802
_cell_length_c 4.5802
_cell_angle_alpha 90.00
_cell_angle_beta 90.00
_cell_angle_gamma 90.00
loop_
_atom_site_label
_atom_site_type_symbol
_atom_site_fract_x
_atom_site_fract_y
_atom_site_fract_z
Cd1 Cd 0.0000 0.0000 0.0000
P1 P 0.0000 0.5000 0.5000
S1 S 0.5000 0.5000 0.5000
```

=====

Which structure is most stable? *B*, by 766 meV per atom over the runner-up.

=====

*A*
VASP calculation (GGA-PBE) on a relaxed CdSbPS2 crystal.

CIF file:
```
data_CdSbPS2
_symmetry_space_group_name_H-M 'P 4/m m m'
_symmetry_Int_Tables_number 123
_symmetry_space_group_name_Hall '-P 4 2'
_cell_length_a 4.9734
_cell_length_b 4.9734
_cell_length_c 5.1535
_cell_angle_alpha 90.00
_cell_angle_beta 90.00
_cell_angle_gamma 90.00
loop_
_atom_site_label
_atom_site_type_symbol
_atom_site_fract_x
_atom_site_fract_y
_atom_site_fract_z
Cd1 Cd 0.0000 0.0000 0.0000
Sb1 Sb 0.5000 0.5000 0.5000
P1 P 0.5000 0.5000 0.0000
S1 S 0.0000 0.5000 0.5000
```

=====

*B*
VASP calculation (GGA-PBE) on a relaxed CdSbPS2 crystal.

CIF file:
```
data_CdSbPS2
_symmetry_space_group_name_H-M 'P 4/m m m'
_symmetry_Int_Tables_number 123
_symmetry_space_group_name_Hall '-P 4 2'
_cell_length_a 4.7315
_cell_length_b 4.7315
_cell_length_c 4.8964
_cell_angle_alpha 90.00
_cell_angle_beta 90.00
_cell_angle_gamma 90.00
loop_
_atom_site_label
_atom_site_type_symbol
_atom_site_fract_x
_atom_site_fract_y
_atom_site_fract_z
Cd1 Cd 0.0000 0.0000 0.0000
Sb1 Sb 0.5000 0.5000 0.0000
P1 P 0.0000 0.0000 0.5000
S1 S 0.0000 0.5000 0.5000
```

=====

*C*
VASP calculation (GGA-PBE) on a relaxed CdSbPS2 crystal.

CIF file:
```
data_CdSbPS2
_symmetry_space_group_name_H-M 'P 4/m m m'
_symmetry_Int_Tables_number 123
_symmetry_space_group_name_Hall '-P 4 2'
_cell_length_a 4.9230
_cell_length_b 4.9230
_cell_length_c 4.9612
_cell_angle_alpha 90.00
_cell_angle_beta 90.00
_cell_angle_gamma 90.00
loop_
_atom_site_label
_atom_site_type_symbol
_atom_site_fract_x
_atom_site_fract_y
_atom_site_fract_z
Cd1 Cd 0.0000 0.0000 0.0000
Sb1 Sb 0.5000 0.5000 0.5000
P1 P 0.0000 0.0000 0.5000
S1 S 0.0000 0.5000 0.0000
```

=====

Which structure is most stable? *B*, by 177 meV per atom over the runner-up.

=====

*A*
VASP calculation (GGA-PBE) on a relaxed ScCdPS2 crystal.

CIF file:
```
data_ScCdPS2
_symmetry_space_group_name_H-M 'P 4/m m m'
_symmetry_Int_Tables_number 123
_symmetry_space_group_name_Hall '-P 4 2'
_cell_length_a 4.9045
_cell_length_b 4.9045
_cell_length_c 4.8755
_cell_angle_alpha 90.00
_cell_angle_beta 90.00
_cell_angle_gamma 90.00
loop_
_atom_site_label
_atom_site_type_symbol
_atom_site_fract_x
_atom_site_fract_y
_atom_site_fract_z
Sc1 Sc 0.0000 0.0000 0.0000
Cd1 Cd 0.5000 0.5000 0.5000
P1 P 0.5000 0.5000 0.0000
S1 S 0.0000 0.5000 0.5000
```

=====

*B*
VASP calculation (GGA-PBE) on a relaxed ScCdPS2 crystal.

CIF file:
```
data_ScCdPS2
_symmetry_space_group_name_H-M 'P 4/m m m'
_symmetry_Int_Tables_number 123
_symmetry_space_group_name_Hall '-P 4 2'
_cell_length_a 4.8738
_cell_length_b 4.8738
_cell_length_c 5.0777
_cell_angle_alpha 90.00
_cell_angle_beta 90.00
_cell_angle_gamma 90.00
loop_
_atom_site_label
_atom_site_type_symbol
_atom_site_fract_x
_atom_site_fract_y
_atom_site_fract_z
Sc1 Sc 0.0000 0.0000 0.0000
Cd1 Cd 0.5000 0.5000 0.5000
P1 P 0.0000 0.0000 0.5000
S1 S 0.0000 0.5000 0.0000
```

=====

Which structure is most stable? *B*, by 479 meV per atom over the runner-up.

=====

*A*
VASP calculation (GGA-PBE) on a relaxed CdSiPS2 crystal.

CIF file:
```
data_CdSiPS2
_symmetry_space_group_name_H-M 'P 4/m m m'
_symmetry_Int_Tables_number 123
_symmetry_space_group_name_Hall '-P 4 2'
_cell_length_a 4.9567
_cell_length_b 4.9567
_cell_length_c 4.9171
_cell_angle_alpha 90.00
_cell_angle_beta 90.00
_cell_angle_gamma 90.00
loop_
_atom_site_label
_atom_site_type_symbol
_atom_site_fract_x
_atom_site_fract_y
_atom_site_fract_z
Cd1 Cd 0.0000 0.0000 0.0000
Si1 Si 0.5000 0.5000 0.5000
P1 P 0.0000 0.0000 0.5000
S1 S 0.0000 0.5000 0.0000
```

=====

*B*
VASP calculation (GGA-PBE) on a relaxed CdSiPS2 crystal.

CIF file:
```
data_CdSiPS2
_symmetry_space_group_name_H-M 'P 4/m m m'
_symmetry_Int_Tables_number 123
_symmetry_space_group_name_Hall '-P 4 2'
_cell_length_a 4.5264
_cell_length_b 4.5264
_cell_length_c 4.6921
_cell_angle_alpha 90.00
_cell_angle_beta 90.00
_cell_angle_gamma 90.00
loop_
_atom_site_label
_atom_site_type_symbol
_atom_site_fract_x
_atom_site_fract_y
_atom_site_fract_z
Cd1 Cd 0.0000 0.0000 0.0000
Si1 Si 0.5000 0.5000 0.5000
P1 P 0.5000 0.5000 0.0000
S1 S 0.0000 0.5000 0.5000
```

=====

Which structure is most stable? *B*, by 806 meV per atom over the runner-up.

=====

*A*
VASP calculation (GGA-PBE) on a relaxed SrCdPS2 crystal.

CIF file:
```
data_SrCdPS2
_symmetry_space_group_name_H-M 'P 4/m m m'
_symmetry_Int_Tables_number 123
_symmetry_space_group_name_Hall '-P 4 2'
_cell_length_a 5.5595
_cell_length_b 5.5595
_cell_length_c 5.9034
_cell_angle_alpha 90.00
_cell_angle_beta 90.00
_cell_angle_gamma 90.00
loop_
_atom_site_label
_atom_site_type_symbol
_atom_site_fract_x
_atom_site_fract_y
_atom_site_fract_z
Sr1 Sr 0.0000 0.0000 0.0000
Cd1 Cd 0.5000 0.5000 0.5000
P1 P 0.0000 0.0000 0.5000
S1 S 0.0000 0.5000 0.0000
```

=====

*B*
VASP calculation (GGA-PBE) on a relaxed SrCdPS2 crystal.

CIF file:
```
data_SrCdPS2
_symmetry_space_group_name_H-M 'P 4/m m m'
_symmetry_Int_Tables_number 123
_symmetry_space_group_name_Hall '-P 4 2'
_cell_length_a 5.1474
_cell_length_b 5.1474
_cell_length_c 4.8802
_cell_angle_alpha 90.00
_cell_angle_beta 90.00
_cell_angle_gamma 90.00
loop_
_atom_site_label
_atom_site_type_symbol
_atom_site_fract_x
_atom_site_fract_y
_atom_site_fract_z
Sr1 Sr 0.0000 0.0000 0.0000
Cd1 Cd 0.5000 0.5000 0.5000
P1 P 0.5000 0.5000 0.0000
S1 S 0.0000 0.5000 0.5000
```

=====

Which structure is most stable? *B*, by 736 meV per atom over the runner-up.

=====

*A*
VASP calculation (GGA-PBE) on a relaxed TaCdPS2 crystal.

CIF file:
```
data_TaCdPS2
_symmetry_space_group_name_H-M 'P 4/m m m'
_symmetry_Int_Tables_number 123
_symmetry_space_group_name_Hall '-P 4 2'
_cell_length_a 4.7396
_cell_length_b 4.7396
_cell_length_c 5.0332
_cell_angle_alpha 90.00
_cell_angle_beta 90.00
_cell_angle_gamma 90.00
loop_
_atom_site_label
_atom_site_type_symbol
_atom_site_fract_x
_atom_site_fract_y
_atom_site_fract_z
Ta1 Ta 0.0000 0.0000 0.0000
Cd1 Cd 0.5000 0.5000 0.5000
P1 P 0.0000 0.0000 0.5000
S1 S 0.0000 0.5000 0.0000
```

=====

*B*
VASP calculation (GGA-PBE) on a relaxed TaCdPS2 crystal.

CIF file:
```
data_TaCdPS2
_symmetry_space_group_name_H-M 'P 4/m m m'
_symmetry_Int_Tables_number 123
_symmetry_space_group_name_Hall '-P 4 2'
_cell_length_a 4.7710
_cell_length_b 4.7710
_cell_length_c 4.8249
_cell_angle_alpha 90.00
_cell_angle_beta 90.00
_cell_angle_gamma 90.00
loop_
_atom_site_label
_atom_site_type_symbol
_atom_site_fract_x
_atom_site_fract_y
_atom_site_fract_z
Ta1 Ta 0.0000 0.0000 0.0000
Cd1 Cd 0.5000 0.5000 0.5000
P1 P 0.5000 0.5000 0.0000
S1 S 0.0000 0.5000 0.5000
```

=====

Which structure is most stable? *A*, by 1498 meV per atom over the runner-up.

=====

*A*
VASP calculation (GGA-PBE) on a relaxed CdTcPS2 crystal.

CIF file:
```
data_CdTcPS2
_symmetry_space_group_name_H-M 'P 4/m m m'
_symmetry_Int_Tables_number 123
_symmetry_space_group_name_Hall '-P 4 2'
_cell_length_a 4.7303
_cell_length_b 4.7303
_cell_length_c 4.5991
_cell_angle_alpha 90.00
_cell_angle_beta 90.00
_cell_angle_gamma 90.00
loop_
_atom_site_label
_atom_site_type_symbol
_atom_site_fract_x
_atom_site_fract_y
_atom_site_fract_z
Cd1 Cd 0.0000 0.0000 0.0000
Tc1 Tc 0.5000 0.5000 0.5000
P1 P 0.5000 0.5000 0.0000
S1 S 0.0000 0.5000 0.5000
```

=====

*B*
VASP calculation (GGA-PBE) on a relaxed CdTcPS2 crystal.

CIF file:
```
data_CdTcPS2
_symmetry_space_group_name_H-M 'P 4/m m m'
_symmetry_Int_Tables_number 123
_symmetry_space_group_name_Hall '-P 4 2'
_cell_length_a 4.9565
_cell_length_b 4.9565
_cell_length_c 4.9026
_cell_angle_alpha 90.00
_cell_angle_beta 90.00
_cell_angle_gamma 90.00
loop_
_atom_site_label
_atom_site_type_symbol
_atom_site_fract_x
_atom_site_fract_y
_atom_site_fract_z
Cd1 Cd 0.0000 0.0000 0.0000
Tc1 Tc 0.5000 0.5000 0.5000
P1 P 0.0000 0.0000 0.5000
S1 S 0.0000 0.5000 0.0000
```

=====

Which structure is most stable? *A*, by 1099 meV per atom over the runner-up.